InHgMo2 (GGA-PBEsol, relaxed); N(E_F) = 0.6188 states/eV/atom; energy above the most stable polymorph in this dataset = 169 meV per atom; energy relative to the elements = 0.491 eV/atom; crystal system = monoclinic
1.0
2.822 0.000 -0.022
0.000 4.621 0.000
-1.263 0.000 5.417
Hg In Mo
1 1 2
Direct
0.500 0.500 0.000 Hg
0.000 0.500 0.500 In
0.723 0.000 0.731 Mo
0.277 0.000 0.269 Mo